(1)
Here is a relaxed SrTi2Sn crystal from Alexandria via LeMat-Bulk. Energies are from GGA-PBE.

Calculated values
The distance to the lowest polymorph of the same formula comes out at 0 meV per atom. The value obtained for the formation enthalpy at 0 K is 0.30 eV per atom. The value obtained for the total energy is -5.0648 eV per atom. As for the density of states at the Fermi level: 0.37 states/eV per atom. The magnetization is 0.00 μB/f.u.

Cell lengths 7.065, 7.065, 7.065 Å; angles 90.00, 90.00, 90.00 degrees
Space group Fm-3m (No. 225)
Inequivalent atoms, fractional coordinates:
Sr 0.000 0.000 0.000
Ti 0.250 0.250 0.250
Sn 0.000 0.000 0.500

(2)
Here is a relaxed SrTi2Sn crystal from Alexandria via LeMat-Bulk. Energies are from GGA-PBE.

Calculated values
The distance to the lowest polymorph of the same formula comes out at 39 meV per atom. The value obtained for the formation enthalpy at 0 K is 0.34 eV per atom. The value obtained for the total energy is -5.0263 eV per atom. As for the density of states at the Fermi level: 1.27 states/eV per atom. The magnetization is 0.00 μB/f.u.

Cell lengths 4.767, 4.767, 20.562 Å; angles 90.00, 90.00, 90.00 degrees
Space group I4_1/amd (No. 141, origin choice 2)
Inequivalent atoms, fractional coordinates:
Sr 0.000 0.250 0.375
Ti 0.000 0.000 0.000
Sn 0.000 0.250 0.875

(3)
Here is a relaxed SrTiSn crystal from Alexandria via LeMat-Bulk. Energies are from GGA-PBE.

Calculated values
The value obtained for the formation enthalpy at 0 K is -0.10 eV per atom. The value obtained for the total energy is -4.6295 eV per atom. As for the density of states at the Fermi level: 0.85 states/eV per atom. The magnetization is 0.44 μB/f.u.

Cell lengths 3.866, 3.866, 11.407 Å; angles 90.00, 90.00, 90.00 degrees
Space group P4/mmm (No. 123)
Inequivalent atoms, fractional coordinates:
Sr 0.000 0.000 0.187
Ti 0.500 0.500 0.408
Sn 0.000 0.000 0.500
Sn 0.500 0.500 0.000

(4)
Here is a relaxed SrTiSn2 crystal from Alexandria via LeMat-Bulk. Energies are from GGA-PBE.

Calculated values
The value obtained for the formation enthalpy at 0 K is -0.32 eV per atom. The value obtained for the total energy is -4.7108 eV per atom. As for the density of states at the Fermi level: 0.66 states/eV per atom. The magnetization is 1.09 μB/f.u.

Cell lengths 3.765, 3.765, 7.324 Å; angles 90.00, 90.00, 90.00 degrees
Space group P4/mmm (No. 123)
Inequivalent atoms, fractional coordinates:
Sr 0.000 0.000 0.000
Ti 0.000 0.000 0.500
Sn 0.500 0.500 0.302

(5)
Here is a relaxed Sr2TiSn crystal from Alexandria via LeMat-Bulk. Energies are from GGA-PBE.

Calculated values
The distance to the lowest polymorph of the same formula comes out at 0 meV per atom. The value obtained for the formation enthalpy at 0 K is 0.11 eV per atom. The value obtained for the total energy is -3.7064 eV per atom. As for the density of states at the Fermi level: 1.16 states/eV per atom. The magnetization is 3.18 μB/f.u.

Cell lengths 8.028, 8.028, 8.028 Å; angles 90.00, 90.00, 90.00 degrees
Space group Fm-3m (No. 225)
Inequivalent atoms, fractional coordinates:
Sr 0.250 0.250 0.250
Ti 0.000 0.000 0.000
Sn 0.000 0.000 0.500

(6)
Here is a relaxed SrTiSn2 crystal from Alexandria via LeMat-Bulk. Energies are from GGA-PBE.

Calculated values
The value obtained for the formation enthalpy at 0 K is 0.03 eV per atom. The value obtained for the total energy is -4.3671 eV per atom. As for the density of states at the Fermi level: 0.97 states/eV per atom. The magnetization is 0.90 μB/f.u.

Cell lengths 5.556, 5.556, 18.238 Å; angles 90.00, 90.00, 90.00 degrees
Space group I-42d (No. 122)
Inequivalent atoms, fractional coordinates:
Sr 0.000 0.000 0.000
Ti 0.000 0.000 0.500
Sn 0.109 0.250 0.625

(7)
Here is a relaxed Sr2TiSn crystal from Alexandria via LeMat-Bulk. Energies are from GGA-PBE.

Calculated values
The distance to the lowest polymorph of the same formula comes out at 288 meV per atom. The value obtained for the formation enthalpy at 0 K is 0.40 eV per atom. The value obtained for the total energy is -3.4188 eV per atom. As for the density of states at the Fermi level: 0.71 states/eV per atom. The magnetization is 2.99 μB/f.u.

Cell lengths 9.100, 9.100, 6.473 Å; angles 90.00, 90.00, 90.00 degrees
Space group I-42d (No. 122)
Inequivalent atoms, fractional coordinates:
Sr 0.241 0.750 0.125
Ti 0.000 0.000 0.500
Sn 0.000 0.000 0.000

(8)
Here is a relaxed Sr3TlSn crystal from Alexandria via LeMat-Bulk. Energies are from GGA-PBE.

Calculated values
The distance to the lowest polymorph of the same formula comes out at 0 meV per atom. The value obtained for the formation enthalpy at 0 K is -0.45 eV per atom. The value obtained for the total energy is -2.7346 eV per atom. As for the density of states at the Fermi level: 0.53 states/eV per atom. The magnetization is 0.00 μB/f.u.

Cell lengths 10.006, 8.869, 10.088 Å; angles 90.00, 120.25, 90.00 degrees
Space group P2_1/c (No. 14)
Inequivalent atoms, fractional coordinates:
Sr 0.001 0.000 0.295
Sr 0.264 0.127 0.131
Sr 0.399 0.749 0.950
Tl 0.348 0.011 0.675
Sn 0.124 0.718 0.562

(9)
Here is a relaxed SrTl2Sn2 crystal from Alexandria via LeMat-Bulk. Energies are from GGA-PBE.

Calculated values
The distance to the lowest polymorph of the same formula comes out at 0 meV per atom. The value obtained for the formation enthalpy at 0 K is -0.19 eV per atom. The value obtained for the total energy is -3.0775 eV per atom. As for the density of states at the Fermi level: 0.56 states/eV per atom. The magnetization is 0.00 μB/f.u.

Cell lengths 4.827, 4.827, 14.315 Å; angles 90.00, 90.00, 90.00 degrees
Space group I4/mmm (No. 139)
Inequivalent atoms, fractional coordinates:
Sr 0.000 0.000 0.000
Tl 0.000 0.500 0.250
Sn 0.000 0.000 0.399

(10)
Here is a relaxed SrTl6Sn crystal from Alexandria via LeMat-Bulk. Energies are from GGA-PBE.

Calculated values
The distance to the lowest polymorph of the same formula comes out at 0 meV per atom. The value obtained for the formation enthalpy at 0 K is -0.12 eV per atom. The value obtained for the total energy is -2.6081 eV per atom. As for the density of states at the Fermi level: 0.35 states/eV per atom. The magnetization is 0.00 μB/f.u.

Cell lengths 7.402, 11.692, 5.690 Å; angles 90.00, 90.00, 90.00 degrees
Space group Cmmm (No. 65)
Inequivalent atoms, fractional coordinates:
Sr 0.000 0.000 0.000
Tl 0.000 0.246 0.500
Tl 0.225 0.500 0.500
Tl 0.250 0.250 0.000
Sn 0.000 0.500 0.000

(11)
Here is a relaxed SrTlSn2 crystal from Alexandria via LeMat-Bulk. Energies are from GGA-PBE.

Calculated values
The distance to the lowest polymorph of the same formula comes out at 2 meV per atom. The value obtained for the formation enthalpy at 0 K is -0.35 eV per atom. The value obtained for the total energy is -3.3601 eV per atom. As for the density of states at the Fermi level: 0.68 states/eV per atom. The magnetization is 0.00 μB/f.u.

Cell lengths 4.879, 4.879, 4.993 Å; angles 90.00, 90.00, 90.00 degrees
Space group P4/mmm (No. 123)
Inequivalent atoms, fractional coordinates:
Sr 0.000 0.000 0.000
Tl 0.500 0.500 0.000
Sn 0.000 0.500 0.500

(12)
Here is a relaxed SrTl12Sn6 crystal from Alexandria via LeMat-Bulk. Energies are from GGA-PBE.

Calculated values
The value obtained for the formation enthalpy at 0 K is 0.00 eV per atom. The value obtained for the total energy is -2.8425 eV per atom. As for the density of states at the Fermi level: 0.49 states/eV per atom. The magnetization is 0.00 μB/f.u.

Cell lengths 13.4549, 13.4549, 11.4766 Å; angles 90.00, 90.00, 120.00 degrees
Space group R-3 (No. 148, hexagonal axes)
Inequivalent atoms, fractional coordinates:
Sr 0.0000 0.0000 0.0000
Tl 0.0148 0.7426 0.9798
Tl 0.0730 0.5382 0.1167
Sn 0.0732 0.9189 0.7358

What did the eighth record say?
Here is a relaxed Sr3TlSn crystal from Alexandria via LeMat-Bulk. Energies are from GGA-PBE.

Calculated values
The distance to the lowest polymorph of the same formula comes out at 0 meV per atom. The value obtained for the formation enthalpy at 0 K is -0.45 eV per atom. The value obtained for the total energy is -2.7346 eV per atom. As for the density of states at the Fermi level: 0.53 states/eV per atom. The magnetization is 0.00 μB/f.u.

Cell lengths 10.006, 8.869, 10.088 Å; angles 90.00, 120.25, 90.00 degrees
Space group P2_1/c (No. 14)
Inequivalent atoms, fractional coordinates:
Sr 0.001 0.000 0.295
Sr 0.264 0.127 0.131
Sr 0.399 0.749 0.950
Tl 0.348 0.011 0.675
Sn 0.124 0.718 0.562

- formation enthalpy at 0 K of number 10 (SrTl6Sn)?
  -0.12 eV per atom

- What is the magnetization in the eleventh record?
  0.00 μB/f.u.

- Which value of magnetization does entry 8 give?
  0.00 μB/f.u.